Entry 1:
VASP calculation (GGA-PBE) on a relaxed structure of Cr2OsAu.

As for the volume: 14.7 Å³/atom. The density of states at the Fermi level comes out at 19.9 states/eV/cell. The energy is -7.913 eV/atom. As for the energy of formation: 0.53 eV/atom.

Cell lengths 6.1676, 6.1676, 6.1676 Å; angles 90.00, 90.00, 90.00 degrees
Last column: nearest neighbours and their distance in Å.
Space group F-43m (No. 216)
Unique sites:
Cr 0.0000 0.0000 0.0000 [4 per cell]  4 Cr 2.67, 4 Au 2.67
Cr 0.2500 0.2500 0.2500 [4 per cell]  4 Cr 2.67, 4 Os 2.67
Os 0.0000 0.0000 0.5000 [4 per cell]  4 Au 2.67, 4 Cr 2.67
Au 0.2500 0.2500 0.7500 [4 per cell]  4 Cr 2.67, 4 Os 2.67

Entry 2:
VASP calculation (GGA-PBE) on a relaxed structure of AcTbPuHg.

As for the volume: 30.8 Å³/atom. The density of states at the Fermi level comes out at 69.0 states/eV/cell. The energy is -5.765 eV/atom. As for the energy of formation: 0.08 eV/atom.

Cell lengths 7.8989, 7.8989, 7.8989 Å; angles 90.00, 90.00, 90.00 degrees
Last column: nearest neighbours and their distance in Å.
Space group F-43m (No. 216)
Unique sites:
Ac 0.0000 0.0000 0.0000 [4 per cell]  4 Hg 3.42, 4 Pu 3.42
Tb 0.0000 0.0000 0.5000 [4 per cell]  4 Hg 3.42, 4 Pu 3.42
Pu 0.2500 0.2500 0.7500 [4 per cell]  4 Ac 3.42, 4 Tb 3.42
Hg 0.2500 0.2500 0.2500 [4 per cell]  4 Ac 3.42, 4 Tb 3.42

Entry 3:
VASP calculation (GGA-PBE) on a relaxed structure of ZnFe2C.

As for the volume: 9.9 Å³/atom. The density of states at the Fermi level comes out at 16.1 states/eV/cell. The energy is -5.818 eV/atom. As for the energy of formation: 1.04 eV/atom. For the energy above the lowest structure with this stoichiometry, the calculation gives 0.991 eV per atom.

Cell lengths 5.4141, 5.4141, 5.4141 Å; angles 90.00, 90.00, 90.00 degrees
Last column: nearest neighbours and their distance in Å.
Space group Fm-3m (No. 225)
Unique sites:
Zn 0.0000 0.0000 0.0000 [4 per cell]  8 Fe 2.34
Fe 0.2500 0.2500 0.2500 [8 per cell]  4 C 2.34, 4 Zn 2.34
C 0.0000 0.0000 0.5000 [4 per cell]  8 Fe 2.34

Entry 4:
VASP calculation (GGA-PBE) on a relaxed structure of Th2MgTe.

As for the volume: 33.4 Å³/atom. The density of states at the Fermi level comes out at 13.7 states/eV/cell. The energy is -4.920 eV/atom. For the formation energy from raw total energies, the calculation gives -0.026 eV per atom. For the energy above the lowest structure with this stoichiometry, the calculation gives 0.352 eV per atom.

Cell lengths 3.6405, 3.6405, 34.8802 Å; angles 90.00, 90.00, 120.00 degrees
Last column: nearest neighbours and their distance in Å.
Space group R-3m (No. 166, hexagonal axes)
Unique sites:
Th 0.0000 0.0000 0.0975 [6 per cell]  3 Te 3.20, 1 Mg 3.40
Mg 0.0000 0.0000 0.0000 [3 per cell]  2 Th 3.40, 6 Mg 3.64
Te 0.0000 0.0000 0.5000 [3 per cell]  6 Th 3.20

Entry 5:
VASP calculation (GGA-PBE) on a relaxed structure of PrTm4Sc5.

As for the volume: 28.5 Å³/atom. The density of states at the Fermi level comes out at 31.1 states/eV/cell. The energy is -5.132 eV/atom. As for the energy of formation: 0.30 eV/atom. For the energy above the lowest structure with this stoichiometry, the calculation gives 0.239 eV per atom.

Cell lengths 9.7044, 9.7044, 6.0497 Å; angles 90.00, 90.00, 90.00 degrees
Last column: nearest neighbours and their distance in Å.
Space group I4 (No. 79)
Unique sites:
Pr 0.0000 0.0000 0.0000 [2 per cell]  1 Sc 2.76
Tm 0.0514 0.6539 0.2232 [8 per cell]  4 Sc 3.07-3.40, 1 Tm 3.15
Sc 0.0000 0.0000 0.4567 [2 per cell]  1 Pr 2.76, 4 Sc 3.05
Sc 0.1420 0.7694 0.7136 [8 per cell]  1 Sc 3.05, 4 Tm 3.07-3.40, 1 Pr 3.15

Entry 6:
VASP calculation (GGA-PBE) on a relaxed structure of FeRuRh2.

As for the volume: 13.6 Å³/atom. The density of states at the Fermi level comes out at 5.1 states/eV/cell. The energy is -8.063 eV/atom. As for the energy of formation: 0.05 eV/atom.

Cell lengths 2.6975, 3.7508, 5.3829 Å; angles 90.00, 90.00, 90.00 degrees
Last column: nearest neighbours and their distance in Å.
Space group Pmm2 (No. 25)
Unique sites:
Fe 0.0000 0.0000 0.0000 [1 per cell]  6 Rh 2.64-2.74, 4 Ru 2.67, 2 Fe 2.70
Ru 0.5000 0.5000 0.7528 [1 per cell]  6 Rh 2.61-2.77, 4 Fe 2.67, 2 Ru 2.70
Rh 0.0000 0.0000 0.5087 [1 per cell]  2 Fe 2.64-2.74, 4 Ru 2.66, 6 Rh 2.70-2.73
Rh 0.5000 0.5000 0.2384 [1 per cell]  2 Ru 2.61-2.77, 4 Fe 2.64, 6 Rh 2.70-2.73

Entry 7:
VASP calculation (GGA-PBE) on a relaxed structure of CsCaAgF6.

As for the volume: 18.7 Å³/atom. The density of states at the Fermi level comes out at 1.5 states/eV/cell. The energy is -4.292 eV/atom. For the formation energy from raw total energies, the calculation gives -2.410 eV per atom.

Cell lengths 7.3446, 8.6313, 10.6187 Å; angles 90.00, 90.00, 90.00 degrees
Last column: nearest neighbours and their distance in Å.
Space group Imma (No. 74)
Unique sites:
Cs 0.0000 0.2500 0.1440 [4 per cell]  5 F 2.88-3.02
Ca 0.2500 0.2500 0.7500 [4 per cell]  4 F 2.25-2.33
Ag 0.0000 0.0000 0.5000 [4 per cell]  4 F 1.98
F 0.0000 0.2500 0.6154 [4 per cell]  2 Ca 2.33, 2 Ag 2.48
F 0.0000 0.2500 0.8730 [4 per cell]  2 Ca 2.25
F 0.1900 0.0215 0.3683 [16 per cell]  1 Ag 1.98

Entry 8:
VASP calculation (GGA-PBE) on a relaxed structure of HfAl3Rh.

As for the volume: 16.9 Å³/atom. The density of states at the Fermi level comes out at 13.5 states/eV/cell. The energy is -6.143 eV/atom. As for the energy of formation: -0.44 eV/atom. For the energy above the lowest structure with this stoichiometry, the calculation gives 0.134 eV per atom.

Cell lengths 5.1695, 7.2031, 9.0813 Å; angles 90.00, 90.00, 90.00 degrees
Last column: nearest neighbours and their distance in Å.
Space group Imma (No. 74)
Unique sites:
Hf 0.0000 0.2500 0.0089 [4 per cell]  7 Al 2.85-3.00, 4 Rh 3.15
Al 0.0000 0.2500 0.3226 [4 per cell]  2 Rh 2.42, 4 Al 2.68
Al 0.2500 0.0628 0.7500 [8 per cell]  5 Al 2.58-2.70, 2 Rh 2.65
Rh 0.0000 0.0000 0.5000 [4 per cell]  6 Al 2.42-2.65

Entry 9:
VASP calculation (GGA-PBE) on a relaxed structure of CaZnCu.

As for the volume: 19.6 Å³/atom. The density of states at the Fermi level comes out at 3.5 states/eV/cell. The energy is -2.567 eV/atom. As for the energy of formation: -0.11 eV/atom.

Cell lengths 3.3878, 3.3878, 10.2506 Å; angles 90.00, 90.00, 90.00 degrees
Last column: nearest neighbours and their distance in Å.
Space group I4mm (No. 107)
Unique sites:
Ca 0.0000 0.0000 0.0000 [2 per cell]  5 Zn 3.04-3.18, 5 Cu 3.10-3.14, 4 Ca 3.39
Zn 0.0000 0.0000 0.7034 [2 per cell]  4 Cu 2.60
Cu 0.0000 0.0000 0.3020 [2 per cell]  4 Zn 2.60

Entry 10:
VASP calculation (GGA-PBE) on a relaxed structure of CuRuBr2.

As for the volume: 17.5 Å³/atom. The density of states at the Fermi level comes out at 21.6 states/eV/cell. The energy is -3.441 eV/atom. For the formation energy from raw total energies, the calculation gives 0.738 eV per atom. For the energy above the lowest structure with this stoichiometry, the calculation gives 0.484 eV per atom.

Cell lengths 6.5459, 6.5459, 6.5459 Å; angles 90.00, 90.00, 90.00 degrees
Last column: nearest neighbours and their distance in Å.
Space group Fm-3m (No. 225)
Unique sites:
Cu 0.0000 0.0000 0.0000 [4 per cell]  8 Br 2.83
Ru 0.0000 0.0000 0.5000 [4 per cell]  8 Br 2.83
Br 0.2500 0.2500 0.2500 [8 per cell]  4 Ru 2.83, 4 Cu 2.83

Entry 11:
VASP calculation (GGA-PBE) on a relaxed structure of RbSiAg2F8.

As for the volume: 15.8 Å³/atom. The density of states at the Fermi level comes out at 0.2 states/eV/cell. The energy is -4.492 eV/atom. For the formation energy from raw total energies, the calculation gives -2.236 eV per atom.

Cell lengths 4.9510, 5.2917, 7.5235 Å; angles 89.84, 81.98, 76.68 degrees
Last column: nearest neighbours and their distance in Å.
Space group P-1 (No. 2)
Unique sites:
Rb 0.0000 0.0000 0.0000 [1 per cell]  8 F 2.78-3.00
Si 0.0000 0.0000 0.5000 [1 per cell]  6 F 1.69-1.74
Ag 0.3989 0.4789 0.2425 [2 per cell]  4 F 2.21-2.37
F 0.0976 0.1796 0.6549 [2 per cell]  1 Si 1.69
F 0.1645 0.1524 0.3284 [2 per cell]  1 Si 1.73
F 0.3062 0.7583 0.5004 [2 per cell]  1 Si 1.74
F 0.4144 0.2990 0.9711 [2 per cell]  2 Ag 2.21-2.24

Entry 12:
VASP calculation (GGA-PBE) on a relaxed structure of CaAs2Br.

As for the volume: 30.7 Å³/atom. The density of states at the Fermi level comes out at 2.0 states/eV/cell. The energy is -4.093 eV/atom. For the formation energy from raw total energies, the calculation gives -0.850 eV per atom. For the energy above the lowest structure with this stoichiometry, the calculation gives 0.027 eV per atom.

Cell lengths 7.8155, 3.8343, 8.5062 Å; angles 90.00, 105.39, 90.00 degrees
Last column: nearest neighbours and their distance in Å.
Space group Cm (No. 8)
Unique sites:
Ca 0.0000 0.0000 0.0000 [2 per cell]  3 Br 2.87-2.98, 3 As 3.07-3.11
As 0.0348 0.5000 0.6527 [2 per cell]  3 As 2.55-2.68
As 0.2465 0.0000 0.7673 [2 per cell]  3 As 2.55-2.68
Br 0.2363 0.5000 0.1962 [2 per cell]  3 Ca 2.87-2.98